(1)
A plane-wave DFT calculation with GGA-PBEsol was carried out for crystalline GaIr3Os at its relaxed geometry.

Summary:
As for the space group: Pm-3m, No. 221. For the energy of formation, the calculation gives 1.87 eV per atom. The total energy is -7.14 eV/atom.

Cell and atoms, written as POSCAR:
```
GaIr3Os
1.0
4.704 0.000 0.000
0.000 4.704 0.000
0.000 0.000 4.704
Ir Os Ga
3 1 1
direct
0.000 0.500 0.000
0.000 0.000 0.500
0.500 0.000 0.000
0.000 0.000 0.000
0.500 0.500 0.500
```

=====

(2)
A plane-wave DFT calculation with GGA-PBEsol was carried out for crystalline GaPIr2 at its relaxed geometry.

Summary:
As for the space group: Fm-3m, No. 225. For the energy of formation, the calculation gives -0.03 eV per atom. The total energy is -7.23 eV/atom.

Cell and atoms, written as POSCAR:
```
GaPIr2
1.0
4.257 0.000 0.000
2.129 3.687 0.000
2.129 1.229 3.476
P Ir Ga
1 2 1
direct
0.000 0.000 0.000
0.250 0.250 0.250
0.750 0.750 0.750
0.500 0.500 0.500
```

=====

(3)
A plane-wave DFT calculation with GGA-PBEsol was carried out for crystalline RbGa3Ir at its relaxed geometry.

Summary:
As for the space group: Pm-3m, No. 221. For the energy of formation, the calculation gives -0.23 eV per atom. The total energy is -4.40 eV/atom.

Cell and atoms, written as POSCAR:
```
RbGa3Ir
1.0
4.841 0.000 0.000
0.000 4.841 0.000
0.000 0.000 4.841
Ir Ga Rb
1 3 1
direct
0.000 0.000 0.000
0.000 0.500 0.000
0.000 0.000 0.500
0.500 0.000 0.000
0.500 0.500 0.500
```

=====

(4)
A plane-wave DFT calculation with GGA-PBEsol was carried out for crystalline GaRe2Ir2 at its relaxed geometry.

Summary:
As for the space group: I4/mmm, No. 139. For the energy of formation, the calculation gives 0.49 eV per atom. The total energy is -9.44 eV/atom.

Cell and atoms, written as POSCAR:
```
GaRe2Ir2
1.0
-2.243 -1.453 2.624
-2.142 -1.518 -2.672
5.497 -3.394 0.147
Re Ir Ga
2 2 1
direct
0.398 0.398 0.796
0.602 0.602 0.204
0.250 0.750 0.500
0.750 0.250 0.500
0.000 0.000 0.000
```